! PaMnHg, optimized geometry, DFT GGA-PBE; values from VASP
! - ΔE_f (eV per atom) = -0.072
! - distance to the lowest polymorph of the same formula (eV per atom) = 0.000
! - VASP energy (eV/atom) = -6.39
&SYSTEM
  ibrav = 0, nat = 6, ntyp = 3
/
ATOMIC_SPECIES
Mn 54.94 Mn.upf
Pa 231.04 Pa.upf
Hg 200.59 Hg.upf
ATOMIC_POSITIONS crystal
Mn 0.056 0.695 0.389
Pa 0.575 0.175 0.350
Mn 0.944 0.305 0.611
Pa 0.425 0.825 0.650
Hg 0.193 0.557 0.114
Hg 0.807 0.443 0.886
CELL_PARAMETERS angstrom
3.553 0.000 0.439
0.000 3.575 0.000
0.563 -1.787 10.066

---

! LaGa2Au6, optimized geometry, DFT GGA-PBE; values from VASP
! - ΔE_f (eV per atom) = -0.300
! - VASP energy (eV/atom) = -3.71
&SYSTEM
  ibrav = 0, nat = 9, ntyp = 3
/
ATOMIC_SPECIES
Au 196.97 Au.upf
La 138.91 La.upf
Ga 69.72 Ga.upf
ATOMIC_POSITIONS crystal
Au 0.500 0.500 0.794
Au 0.500 0.000 0.794
La 0.000 0.000 0.000
Au 0.500 0.500 0.206
Au 0.000 0.500 0.206
Au 0.500 0.000 0.206
Au 0.000 0.500 0.794
Ga 0.333 0.667 0.500
Ga 0.667 0.333 0.500
CELL_PARAMETERS angstrom
-4.480 -1.438 -3.258
0.623 -2.320 5.194
-3.838 5.424 2.883